Compound: Na5Co3F12
Source: Alexandria
Functional: PBE with a Hubbard U
Structure: optimized geometry

Unit cell a=9.5096 b=9.5096 c=3.2047 alpha=90.00 beta=90.00 gamma=120.00
Atoms (fractional coordinates):
Na 0.0000 0.2892 0.0000
Na 0.2892 0.0000 0.0000
Na 0.3333 0.6667 0.0000
Na 0.6667 0.3333 0.0000
Na 0.7108 0.7108 0.0000
Co 0.0000 0.6671 0.5000
Co 0.3329 0.3329 0.5000
Co 0.6671 0.0000 0.5000
F 0.0000 0.5339 0.0000
F 0.0000 0.8047 0.0000
F 0.1953 0.1953 0.0000
F 0.2067 0.4437 0.5000
F 0.2369 0.7933 0.5000
F 0.4437 0.2067 0.5000
F 0.4661 0.4661 0.0000
F 0.5339 0.0000 0.0000
F 0.5563 0.7631 0.5000
F 0.7631 0.5563 0.5000
F 0.7933 0.2369 0.5000
F 0.8047 0.0000 0.0000

Results
Raw total energy = -4.65 eV per atom
Fermi-level density of states = 10.24 states/eV/cell